6
Lattice="4.596 0.000 0.000 0.000 1.367 7.238 0.000 -1.367 7.238" Properties=species:S:1:pos:R:3 comment="LiPt5 | Alexandria via LeMat-Bulk | GGA-PBE | relaxed" space_group="Amm2, No. 38" dft_energy_ha_per_atom=-0.2040 polymorph_energy_mev_per_atom=89 delta_e_f_mev_per_atom=-198 pbc="T T T"
Li 0.000 0.000 0.000
Pt 0.000 0.000 4.929
Pt 0.000 0.000 9.566
Pt 2.298 0.000 1.553
Pt 2.298 0.000 6.434
Pt 2.298 0.000 11.241